This record from Alexandria via LeMat-Bulk describes a relaxed structure of Ba2NiAsN. The functional is GGA-PBE.

Structure (CIF):
```
data_Ba2NiAsN
_chemical_formula_sum 'Ba4 Ni2 As2 N2'
_cell_length_a 4.133
_cell_length_b 6.804
_cell_length_c 9.644
_cell_angle_alpha 110.81
_cell_angle_beta 90.00
_cell_angle_gamma 90.00
_space_group_name_H-M_alt 'P 1'
_space_group_IT_number 1
loop_
_space_group_symop_operation_xyz
'x,y,z'
loop_
_atom_site_label
_atom_site_type_symbol
_atom_site_fract_x
_atom_site_fract_y
_atom_site_fract_z
_atom_site_occupancy
N1 N 0.250 0.802 0.826 1
Ba1 Ba 0.750 0.796 0.616 1
As1 As 0.250 0.661 0.298 1
N2 N 0.750 0.198 0.174 1
Ni1 Ni 0.250 0.521 0.750 1
Ba2 Ba 0.250 0.204 0.384 1
Ni2 Ni 0.750 0.479 0.250 1
Ba3 Ba 0.250 0.224 0.967 1
As2 As 0.750 0.339 0.702 1
Ba4 Ba 0.750 0.776 0.033 1
```

Results
Distance to the lowest polymorph of the same formula ... 0.123 eV per formula unit
SG ... P2_1/m, No. 11
Calculated density ... 5.5 g cm⁻³